This record from the Alexandria database describes a relaxed structure of TaTl2Os. The functional is PBE-GGA.

Unit cell a=3.082 b=5.338 c=9.704 alpha=90.00 beta=90.00 gamma=90.00
Space group Cmmm (No. 65)
Unique sites:
Ta1 0.000 0.000 0.000 [2 per cell]
Tl1 0.000 0.500 0.261 [4 per cell]
Os1 0.000 0.000 0.500 [2 per cell]

The calculated formation energy is 0.9278 eV per atom. The calculation puts the density at 16.22 g cm⁻³. For the energy above the most stable polymorph in this dataset, the calculation gives 629 meV/atom.